# 1
# Mg2ScRh | Alexandria via LeMat-Bulk | GGA-PBE | optimized geometry
# **Crystal system**: monoclinic
# **Total moment**: 0.00 μB per atom
# **N(E_F)**: 6.5 states/eV/cell
# **Formation energy**: -0.48 eV/atom
data_Mg2ScRh
_cell_length_a 6.3620
_cell_length_b 6.3570
_cell_length_c 8.3841
_cell_angle_alpha 90.00
_cell_angle_beta 112.19
_cell_angle_gamma 90.00
_symmetry_space_group_name_H-M 'C 1 2/m 1'
_symmetry_Int_Tables_number 12
_symmetry_space_group_name_Hall '-C 2y'
loop_
_atom_site_label
_atom_site_type_symbol
_atom_site_fract_x
_atom_site_fract_y
_atom_site_fract_z
_atom_site_occupancy
Mg1 Mg 0.1458 0.0000 0.2914 1
Mg2 Mg 0.2500 0.2500 0.0000 1
Sc1 Sc 0.1525 0.5000 0.3050 1
Rh1 Rh 0.0000 0.2499 0.5000 1

---

# 2
# ZrAlInB2 | Alexandria via LeMat-Bulk | GGA-PBE | optimized geometry
# **Crystal system**: tetragonal
# **Total moment**: 0.00 μB per atom
# **N(E_F)**: 2.0 states/eV/cell
# **Formation energy**: 1.15 eV/atom
data_ZrAlInB2
_cell_length_a 4.2104
_cell_length_b 4.2104
_cell_length_c 5.1542
_cell_angle_alpha 90.00
_cell_angle_beta 90.00
_cell_angle_gamma 90.00
_symmetry_space_group_name_H-M 'P 4/m m m'
_symmetry_Int_Tables_number 123
_symmetry_space_group_name_Hall '-P 4 2'
loop_
_atom_site_label
_atom_site_type_symbol
_atom_site_fract_x
_atom_site_fract_y
_atom_site_fract_z
_atom_site_occupancy
Zr1 Zr 0.0000 0.0000 0.0000 1
Al1 Al 0.0000 0.0000 0.5000 1
In1 In 0.5000 0.5000 0.0000 1
B1 B 0.0000 0.5000 0.5000 1

---

# 3
# ErPu3Se4 | Alexandria via LeMat-Bulk | GGA-PBE | optimized geometry
# **Crystal system**: orthorhombic
# **ΔE_f (raw)**: -1.588 eV/atom
# **Total moment**: 2.19 μB per atom
# **N(E_F)**: 52.7 states/eV/cell
data_ErPu3Se4
_cell_length_a 8.2495
_cell_length_b 11.6522
_cell_length_c 4.1205
_cell_angle_alpha 90.00
_cell_angle_beta 90.00
_cell_angle_gamma 90.00
_symmetry_space_group_name_H-M 'C m m m'
_symmetry_Int_Tables_number 65
_symmetry_space_group_name_Hall '-C 2 2'
loop_
_atom_site_label
_atom_site_type_symbol
_atom_site_fract_x
_atom_site_fract_y
_atom_site_fract_z
_atom_site_occupancy
Er1 Er 0.0000 0.0000 0.0000 1
Pu1 Pu 0.0000 0.5000 0.0000 1
Pu2 Pu 0.2500 0.2500 0.5000 1
Se1 Se 0.0000 0.2474 0.0000 1
Se2 Se 0.2444 0.0000 0.5000 1

---

# 4
# GdCu2Ir | Alexandria via LeMat-Bulk | GGA-PBE | optimized geometry
# **Crystal system**: cubic
# **Total moment**: 1.76 μB per atom
# **N(E_F)**: 7.2 states/eV/cell
# **Formation energy**: -0.18 eV/atom
data_GdCu2Ir
_cell_length_a 6.4093
_cell_length_b 6.4093
_cell_length_c 6.4093
_cell_angle_alpha 90.00
_cell_angle_beta 90.00
_cell_angle_gamma 90.00
_symmetry_space_group_name_H-M 'F m -3 m'
_symmetry_Int_Tables_number 225
_symmetry_space_group_name_Hall '-F 4 2 3'
loop_
_atom_site_label
_atom_site_type_symbol
_atom_site_fract_x
_atom_site_fract_y
_atom_site_fract_z
_atom_site_occupancy
Gd1 Gd 0.0000 0.0000 0.0000 1
Cu1 Cu 0.2500 0.2500 0.2500 1
Ir1 Ir 0.0000 0.0000 0.5000 1